1.
The following is a PBE calculation of a relaxed structure of Tl2ReAg, from Alexandria.

## Properties
The calculation puts the density of states at the Fermi level at 2.39 states/eV per cell. The energy relative to the elements comes out at 0.798 eV per atom. The energy relative to the lowest polymorph listed for this composition is 0.242 eV/f.u.

Lattice parameters (Å, degrees): 3.112 3.112 9.887 90.00 90.00 119.90
Site moments in Bohr magnetons follow the coordinates.
Positions (direct):
1 Tl 0.000 0.000 0.507  0.00
2 Ag 0.500 0.500 0.250  0.00
3 Re 0.500 0.500 0.750  0.66
4 Tl 0.000 0.000 0.993  0.00



2.
The following is a PBE calculation of a relaxed structure of HgIrBr2, from Alexandria.

## Properties
The uncorrected formation energy is 1.063 eV per atom. The calculation puts the density of states at the Fermi level at 7.31 states/eV per cell. The energy relative to the lowest polymorph listed for this composition is 3.935 eV/f.u.

Lattice parameters (Å, degrees): 4.983 4.983 4.983 60.00 60.00 60.00
Site moments in Bohr magnetons follow the coordinates.
Positions (direct):
1 Hg 0.500 0.500 0.500  0.00
2 Br 0.250 0.250 0.250  0.16
3 Br 0.000 0.000 0.000  0.15
4 Ir 0.750 0.750 0.750  0.97



3.
The following is a PBE calculation of a relaxed structure of LaPrY3Tm, from Alexandria.

## Properties
The calculation puts the density of states at the Fermi level at 24.36 states/eV per cell. The energy relative to the elements comes out at 0.100 eV per atom.

Lattice parameters (Å, degrees): 5.898 6.511 11.790 90.00 90.00 116.94
Positions (direct):
1 Y 0.675 0.349 0.994
2 La 0.493 0.986 0.750
3 Pr 0.000 0.000 0.000
4 Y 0.675 0.349 0.506
5 Y 0.325 0.651 0.006
6 Y 0.325 0.651 0.494
7 Pr 0.000 0.000 0.500
8 Tm 0.831 0.662 0.750
9 Y 0.175 0.349 0.750
10 Tm 0.169 0.338 0.250
11 La 0.507 0.014 0.250
12 Y 0.825 0.651 0.250



4.
The following is a PBE calculation of a relaxed structure of ErTeRhO6, from Alexandria.

## Properties
The uncorrected formation energy is -1.457 eV per atom.

Lattice parameters (Å, degrees): 5.441 5.441 8.533 90.00 90.00 120.00
Positions (direct):
1 O 0.681 0.036 0.377
2 O 0.355 0.036 0.123
3 O 0.319 0.964 0.623
4 Er 0.667 0.333 0.750
5 Te 0.667 0.333 0.250
6 O 0.645 0.964 0.877
7 O 0.681 0.645 0.123
8 Te 0.333 0.667 0.750
9 O 0.319 0.355 0.877
10 Rh 0.000 0.000 0.500
11 O 0.355 0.319 0.377
12 O 0.964 0.319 0.123
13 O 0.036 0.681 0.877
14 O 0.645 0.681 0.623
15 Rh 0.000 0.000 0.000
16 O 0.036 0.355 0.623
17 Er 0.333 0.667 0.250
18 O 0.964 0.645 0.377



5.
The following is a PBE calculation of a relaxed structure of Cs2KNaSb, from Alexandria.

## Properties
The uncorrected formation energy is -0.093 eV per atom. The calculation puts the density of states at the Fermi level at 5.78 states/eV per cell. The energy relative to the lowest polymorph listed for this composition is 0.210 eV/f.u.

Lattice parameters (Å, degrees): 7.473 7.473 6.873 90.00 90.00 90.00
Site moments in Bohr magnetons follow the coordinates.
Positions (direct):
1 Cs 0.000 0.500 0.000  0.02
2 K 0.000 0.000 0.500  0.00
3 Na 0.500 0.500 0.500  0.04
4 Sb 0.000 0.000 0.000  0.22
5 Cs 0.500 0.000 0.000  0.02



6.
The following is a PBE calculation of a relaxed structure of KMgSbTe3, from Alexandria.

## Properties
The uncorrected formation energy is -0.647 eV per atom.

Lattice parameters (Å, degrees): 4.516 9.864 10.569 106.55 90.00 90.00
Positions (direct):
1 Te 0.250 0.545 0.844
2 Sb 0.250 0.667 0.126
3 K 0.750 0.799 0.760
4 Te 0.750 0.880 0.118
5 Te 0.750 0.455 0.156
6 Te 0.250 0.791 0.476
7 K 0.250 0.201 0.240
8 Te 0.250 0.120 0.882
9 Sb 0.750 0.333 0.874
10 Mg 0.250 0.088 0.611
11 Mg 0.750 0.912 0.389
12 Te 0.750 0.209 0.524



7.
The following is a PBE calculation of a relaxed structure of Zr2CdIr, from Alexandria.

## Properties
The calculation puts the density of states at the Fermi level at 3.12 states/eV per cell. The energy relative to the elements comes out at -0.282 eV per atom.

Lattice parameters (Å, degrees): 5.440 5.440 5.440 135.49 135.49 64.76
Positions (direct):
1 Zr 0.000 0.000 0.000
2 Zr 0.250 0.750 0.500
3 Ir 0.750 0.250 0.500
4 Cd 0.500 0.500 0.000



8.
The following is a PBE calculation of a relaxed structure of FeAsIr2, from Alexandria.

## Properties
The calculation puts the density of states at the Fermi level at 3.15 states/eV per cell. The energy relative to the elements comes out at 0.147 eV per atom.

Lattice parameters (Å, degrees): 5.258 5.258 5.258 148.36 129.72 60.64
Site moments in Bohr magnetons follow the coordinates.
Positions (direct):
1 Ir 0.977 0.977 0.000  0.10
2 Ir 0.523 0.523 0.000  0.10
3 As 0.750 0.250 0.500  -0.05
4 Fe 0.250 0.750 0.500  2.68



9.
The following is a PBE calculation of a relaxed structure of ScNbTl2, from Alexandria.

## Properties
The calculation puts the density of states at the Fermi level at 10.12 states/eV per cell. The energy relative to the elements comes out at 0.544 eV per atom.

Lattice parameters (Å, degrees): 4.348 4.348 10.939 78.54 78.54 90.00
Site moments in Bohr magnetons follow the coordinates.
Positions (direct):
1 Tl 0.112 0.625 0.250  0.01
2 Sc 0.250 0.750 0.500  0.13
3 Tl 0.375 0.362 0.750  0.01
4 Tl 0.638 0.125 0.250  0.01
5 Sc 0.500 0.500 0.000  0.14
6 Nb 0.000 0.000 0.000  0.52
7 Nb 0.750 0.250 0.500  0.53
8 Tl 0.875 0.888 0.750  0.01



10.
The following is a PBE calculation of a relaxed structure of Cd2CuNi, from Alexandria.

## Properties
The calculation puts the density of states at the Fermi level at 2.25 states/eV per cell. The energy relative to the elements comes out at 0.063 eV per atom. The energy relative to the lowest polymorph listed for this composition is 0.003 eV/f.u.

Lattice parameters (Å, degrees): 3.047 3.047 6.983 90.00 90.00 90.04
Positions (direct):
1 Ni 0.500 0.500 0.715
2 Cd 0.500 0.500 0.291
3 Cu 0.000 0.000 0.539
4 Cd 0.000 0.000 0.955



11.
The following is a PBE calculation of a relaxed structure of ZrPbW2, from Alexandria.

## Properties
The calculation puts the density of states at the Fermi level at 3.56 states/eV per cell. The energy relative to the elements comes out at 0.645 eV per atom.

Lattice parameters (Å, degrees): 2.999 2.999 9.315 90.00 90.00 110.23
Positions (direct):
1 W 0.000 0.000 0.006
2 Pb 0.500 0.500 0.750
3 W 0.000 0.000 0.494
4 Zr 0.500 0.500 0.250



12.
The following is a PBE calculation of a relaxed structure of BaCd4Te, from Alexandria.

## Properties
The uncorrected formation energy is -0.266 eV per atom. The calculation puts the density of states at the Fermi level at 2.21 states/eV per cell.

Lattice parameters (Å, degrees): 6.312 6.312 6.312 60.00 60.00 60.00
Positions (direct):
1 Cd 0.871 0.376 0.376
2 Cd 0.376 0.376 0.871
3 Cd 0.376 0.871 0.376
4 Cd 0.376 0.376 0.376
5 Ba 0.000 0.000 0.000
6 Te 0.750 0.750 0.750